# RbVP2O (PBE+U, relaxed)
data_RbVP2O
_chemical_formula_sum 'Rb1 V1 P2 O1'
_cell_length_a 4.923
_cell_length_b 4.923
_cell_length_c 3.832
_cell_angle_alpha 90.00
_cell_angle_beta 90.00
_cell_angle_gamma 90.00
_space_group_name_H-M_alt 'P 4/m m m'
_space_group_IT_number 123
_space_group_name_Hall '-P 4 2'
loop_
_atom_site_label
_atom_site_type_symbol
_atom_site_fract_x
_atom_site_fract_y
_atom_site_fract_z
Rb1 Rb 0.000 0.000 0.000
V1 V 0.500 0.500 0.500
P1 P 0.000 0.500 0.500
O1 O 0.500 0.500 0.000
# ΔE to the lowest computed polymorph: 0.00 eV per formula unit